<w>
The following is a PBE-GGA calculation of an optimized crystal structure of Rb2NbS4, from Alexandria.

Properties
- size of the total moment (μB per formula unit) = 0.00
- DOS(E_F) (states/eV per atom) = 0.203

Cell lengths 5.687, 7.628, 12.090 Å; angles 96.58, 90.00, 90.00 degrees
Element x y z (fractional)
Rb1 0.250 0.225 0.901
Rb2 0.750 0.757 0.518
Rb3 0.250 0.243 0.482
Rb4 0.750 0.775 0.099
Nb1 0.750 0.308 0.238
Nb2 0.250 0.692 0.762
S1 0.530 0.478 0.705
S2 0.250 0.776 0.947
S3 0.030 0.522 0.295
S4 0.250 0.923 0.657
S5 0.750 0.224 0.053
S6 0.970 0.478 0.705
S7 0.470 0.522 0.295
S8 0.750 0.077 0.343

***

<x>
The following is a PBE-GGA calculation of an optimized crystal structure of Rb2NbS4, from Alexandria.

Properties
- size of the total moment (μB per formula unit) = 1.07
- DOS(E_F) (states/eV per atom) = 0.414

Cell lengths 6.611, 6.611, 8.071 Å; angles 116.44, 116.44, 84.99 degrees
Element x y z (fractional)
Rb1 0.356 0.644 0.500
Rb2 0.856 0.144 0.500
S1 0.967 0.370 0.000
S2 0.630 0.033 0.000
S3 0.952 0.739 0.692
S4 0.261 0.048 0.308
Nb1 0.978 0.022 0.000

***

Energies relative to the minimum, meV/atom: <w> 0; <x> 84

***

<w>
The following is a PBE-GGA calculation of an optimized crystal structure of Rb2Nb2S, from Alexandria.

Properties
- size of the total moment (μB per formula unit) = 1.97
- DOS(E_F) (states/eV per atom) = 0.458

Cell lengths 6.478, 6.478, 6.656 Å; angles 90.00, 90.00, 90.00 degrees
Element x y z (fractional)
Rb1 0.311 0.189 0.500
Rb2 0.811 0.311 0.500
Rb3 0.189 0.689 0.500
Rb4 0.689 0.811 0.500
Nb1 0.156 0.344 0.000
Nb2 0.656 0.156 0.000
Nb3 0.844 0.656 0.000
Nb4 0.344 0.844 0.000
S1 0.500 0.500 0.000
S2 0.000 0.000 0.000

***

<x>
The following is a PBE-GGA calculation of an optimized crystal structure of Rb2Nb2S, from Alexandria.

Properties
- size of the total moment (μB per formula unit) = 0.00
- DOS(E_F) (states/eV per atom) = 1.176

Cell lengths 4.339, 4.339, 8.977 Å; angles 76.01, 76.01, 90.00 degrees
Element x y z (fractional)
Nb1 0.563 0.563 0.873
Nb2 0.437 0.437 0.127
Rb1 0.250 0.750 0.500
Rb2 0.750 0.250 0.500
S1 0.000 0.000 0.000

***

<y>
The following is a PBE-GGA calculation of an optimized crystal structure of Rb2Nb2S, from Alexandria.

Properties
- size of the total moment (μB per formula unit) = 0.54
- DOS(E_F) (states/eV per atom) = 0.998

Cell lengths 3.718, 3.718, 12.033 Å; angles 81.11, 81.11, 90.00 degrees
Element x y z (fractional)
Rb1 0.584 0.584 0.832
Rb2 0.416 0.416 0.168
Nb1 0.250 0.750 0.500
Nb2 0.750 0.250 0.500
S1 0.000 0.000 0.000

***

<z>
The following is a PBE-GGA calculation of an optimized crystal structure of Rb2Nb2S, from Alexandria.

Properties
- size of the total moment (μB per formula unit) = 0.21
- DOS(E_F) (states/eV per atom) = 1.136

Cell lengths 10.693, 10.693, 3.234 Å; angles 90.00, 90.00, 90.00 degrees
Element x y z (fractional)
Nb1 0.428 0.072 0.500
Nb2 0.572 0.928 0.500
Nb3 0.928 0.428 0.500
Nb4 0.072 0.572 0.500
S1 0.500 0.500 0.000
S2 0.000 0.000 0.000
Rb1 0.717 0.217 0.000
Rb2 0.217 0.283 0.000
Rb3 0.783 0.717 0.000
Rb4 0.283 0.783 0.000

***

Energies relative to the minimum, meV/atom: <w> 78; <x> 1013; <y> 0; <z> 847

***

<w>
The following is a PBE-GGA calculation of an optimized crystal structure of RbNb2S4, from Alexandria.

Properties
- size of the total moment (μB per formula unit) = 0.00
- DOS(E_F) (states/eV per atom) = 0.645

Cell lengths 3.740, 6.499, 12.736 Å; angles 90.00, 90.00, 106.72 degrees
Element x y z (fractional)
Nb1 0.118 0.237 0.064
Nb2 0.882 0.763 0.936
Nb3 0.882 0.763 0.564
Nb4 0.118 0.237 0.436
S1 0.242 0.485 0.595
S2 0.914 0.827 0.750
S3 0.758 0.515 0.405
S4 0.500 0.000 0.500
S5 0.758 0.515 0.095
S6 0.242 0.485 0.905
S7 0.086 0.173 0.250
S8 0.500 0.000 0.000
Rb1 0.616 0.232 0.750
Rb2 0.384 0.768 0.250

***

<x>
The following is a PBE-GGA calculation of an optimized crystal structure of RbNb2S4, from Alexandria.

Properties
- size of the total moment (μB per formula unit) = 0.00
- DOS(E_F) (states/eV per atom) = 0.566

Cell lengths 3.451, 3.451, 14.550 Å; angles 90.00, 90.00, 120.00 degrees
Element x y z (fractional)
S1 0.667 0.333 0.674
S2 0.667 0.333 0.884
S3 0.333 0.667 0.116
S4 0.333 0.667 0.326
Nb1 0.000 0.000 0.782
Nb2 0.000 0.000 0.218
Rb1 0.000 0.000 0.500

***

Energies relative to the minimum, meV/atom: <w> 163; <x> 0

***

<w>
The following is a PBE-GGA calculation of an optimized crystal structure of RbNb3Sb, from Alexandria.

Properties
- size of the total moment (μB per formula unit) = 0.00
- DOS(E_F) (states/eV per atom) = 1.103

Cell lengths 4.864, 4.864, 4.864 Å; angles 90.00, 90.00, 90.00 degrees
Element x y z (fractional)
Sb1 0.500 0.500 0.500
Nb1 0.500 0.000 0.000
Nb2 0.000 0.000 0.500
Nb3 0.000 0.500 0.000
Rb1 0.000 0.000 0.000

***

<x>
The following is a PBE-GGA calculation of an optimized crystal structure of RbNb3Sb, from Alexandria.

Properties
- size of the total moment (μB per formula unit) = 0.01
- DOS(E_F) (states/eV per atom) = 1.494

Cell lengths 5.256, 5.256, 5.256 Å; angles 90.00, 90.00, 90.00 degrees
Element x y z (fractional)
Sb1 0.000 0.000 0.000
Nb1 0.500 0.000 0.000
Nb2 0.000 0.500 0.000
Nb3 0.000 0.000 0.500
Rb1 0.500 0.500 0.500

***

Energies relative to the minimum, meV/atom: <w> 914; <x> 0

***

<w>
The following is a PBE-GGA calculation of an optimized crystal structure of RbNb2Sb2, from Alexandria.

Properties
- size of the total moment (μB per formula unit) = 0.00
- DOS(E_F) (states/eV per atom) = 0.585

Cell lengths 4.261, 4.261, 8.427 Å; angles 75.36, 75.36, 90.00 degrees
Element x y z (fractional)
Nb1 0.250 0.750 0.500
Nb2 0.750 0.250 0.500
Sb1 0.631 0.631 0.738
Sb2 0.369 0.369 0.262
Rb1 0.000 0.000 0.000

***

<x>
The following is a PBE-GGA calculation of an optimized crystal structure of RbNb2Sb2, from Alexandria.

Properties
- size of the total moment (μB per formula unit) = 0.00
- DOS(E_F) (states/eV per atom) = 0.866

Cell lengths 5.349, 5.349, 6.108 Å; angles 64.03, 64.03, 90.00 degrees
Element x y z (fractional)
Nb1 0.373 0.373 0.253
Nb2 0.627 0.627 0.747
Sb1 0.750 0.250 0.500
Sb2 0.250 0.750 0.500
Rb1 0.000 0.000 0.000

***

Energies relative to the minimum, meV/atom: <w> 0; <x> 385

***

<w>
The following is a PBE-GGA calculation of an optimized crystal structure of RbNbSbTe2, from Alexandria.

Properties
- size of the total moment (μB per formula unit) = 0.00
- DOS(E_F) (states/eV per atom) = 3.145

Cell lengths 5.900, 5.900, 5.703 Å; angles 90.00, 90.00, 90.00 degrees
Element x y z (fractional)
Nb1 0.500 0.500 0.500
Te1 0.500 0.000 0.000
Te2 0.000 0.500 0.000
Rb1 0.000 0.000 0.000
Sb1 0.000 0.000 0.500

***

<x>
The following is a PBE-GGA calculation of an optimized crystal structure of RbNbSbTe2, from Alexandria.

Properties
- size of the total moment (μB per formula unit) = 0.00
- DOS(E_F) (states/eV per atom) = 0.396

Cell lengths 5.553, 5.553, 5.493 Å; angles 90.00, 90.00, 90.00 degrees
Element x y z (fractional)
Rb1 0.500 0.500 0.500
Nb1 0.000 0.000 0.000
Sb1 0.000 0.000 0.500
Te1 0.500 0.000 0.000
Te2 0.000 0.500 0.000

***

Energies relative to the minimum, meV/atom: <w> 2223; <x> 0